(1)
The following is a DFT calculation (PBE) of an optimized crystal structure of In2HgI2.

Results
VASP energy = -2.023 eV/atom
Energy relative to the elements, uncorrected = -1.24 eV/f.u.
Polymorph energy (0 for the lowest one) = 99 meV per atom
ρ = 4.3 g/cm3

The structure in extended XYZ format:
```
5
Lattice="-3.180 3.180 6.578 3.180 -3.180 6.578 3.180 3.180 -6.578" Properties=species:S:1:pos:R:3 pbc="T T T"
In 3.180 0.000 3.289
In 0.000 3.180 3.289
Hg 0.000 0.000 0.000
I 0.000 0.000 4.434
I 0.000 0.000 8.723
```


(2)
The following is a DFT calculation (PBE) of an optimized crystal structure of PrDy5Al3.

Results
VASP energy = -4.584 eV/atom
Energy relative to the elements = -249 meV per atom
ρ = 7.1 g/cm3

The structure in extended XYZ format:
```
18
Lattice="9.141 0.000 0.000 -4.571 7.917 0.000 0.000 0.000 6.681" Properties=species:S:1:pos:R:3 pbc="T T T"
Pr 0.000 0.000 0.000
Pr 0.000 0.000 3.340
Dy -1.515 2.625 1.670
Dy -3.055 5.292 5.011
Dy 3.031 0.000 1.670
Dy 1.515 2.625 5.011
Dy 0.000 5.278 0.000
Dy 0.000 5.278 3.340
Dy 4.571 2.639 0.000
Dy 4.571 2.639 3.340
Dy 6.111 0.000 5.011
Dy 3.055 5.292 1.670
Al -1.556 2.695 5.011
Al -3.015 5.222 1.670
Al 3.111 0.000 5.011
Al 1.556 2.695 1.670
Al 6.030 0.000 1.670
Al 3.015 5.222 5.011
```


(3)
The following is a DFT calculation (PBE) of an optimized crystal structure of Dy4Ho3Ga4.

Results
VASP energy = -4.438 eV/atom
Energy relative to the elements = -415 meV per atom
ρ = 8.3 g/cm3

The structure in extended XYZ format:
```
11
Lattice="-1.774 4.504 8.872 1.774 -4.504 8.872 1.774 4.504 -8.872" Properties=species:S:1:pos:R:3 pbc="T T T"
Dy 1.774 -2.837 5.929
Dy 0.000 1.667 2.943
Dy 1.774 2.837 5.929
Dy 0.000 7.341 2.943
Ho 1.774 0.000 0.000
Ho 0.000 0.000 7.176
Ho 0.000 0.000 10.568
Ga 1.774 0.000 4.826
Ga 0.000 2.497 0.000
Ga 0.000 6.511 0.000
Ga 0.000 4.504 4.046
```